Density functional theory data (PBE-GGA) for a relaxed structure of BeTeOs2.

POSCAR file:
```
BeTeOs2
1.0
3.1672 0.0000 0.0000
0.0000 3.1672 0.0000
0.0000 0.0000 6.0733
Te Be Os
1 1 2
direct
0.0000 0.0000 0.4906
0.5000 0.5000 0.8405
0.5000 0.5000 0.2473
0.0000 0.0000 0.9215
```

Properties
The calculation puts the volume at 60.9 Å³/f.u. For the mass density, the calculation gives 14.09 g/cm³. As for the energy relative to the elements, uncorrected: 502 meV per atom. For the total magnetic moment, the calculation gives 0.00 Bohr magnetons per cell. As for the electronic total energy: -6.83 eV/atom. The polymorph energy (0 for the lowest one) comes out at 44 meV per atom.